# MgScZn10 GGA-PBE relaxed
data_MgScZn10
_chemical_formula_sum 'Mg1 Sc1 Zn10'
_cell_length_a 4.2499
_cell_length_b 5.1588
_cell_length_c 8.9913
_cell_angle_alpha 90.00
_cell_angle_beta 90.00
_cell_angle_gamma 90.00
_symmetry_space_group_name_H-M 'P 1'
_symmetry_Int_Tables_number 1
_symmetry_space_group_name_Hall 'P 1'
loop_
_atom_site_label
_atom_site_type_symbol
_atom_site_fract_x
_atom_site_fract_y
_atom_site_fract_z
Mg1 Mg 0.0000 0.0000 0.0000
Sc1 Sc 0.0000 0.5000 0.5000
Zn1 Zn 0.0000 0.0000 0.3284
Zn2 Zn 0.0000 0.0000 0.6716
Zn3 Zn 0.0000 0.5000 0.1630
Zn4 Zn 0.0000 0.5000 0.8370
Zn5 Zn 0.5000 0.0000 0.5000
Zn6 Zn 0.5000 0.2564 0.2591
Zn7 Zn 0.5000 0.2564 0.7409
Zn8 Zn 0.5000 0.5000 0.0000
Zn9 Zn 0.5000 0.7436 0.2591
Zn10 Zn 0.5000 0.7436 0.7409
# Space group   Pmmm, No. 47


# MgScZn2 GGA-PBE relaxed
data_MgScZn2
_chemical_formula_sum 'Mg1 Sc1 Zn2'
_cell_length_a 9.0516
_cell_length_b 9.0516
_cell_length_c 9.0516
_cell_angle_alpha 20.45
_cell_angle_beta 20.45
_cell_angle_gamma 20.45
_symmetry_space_group_name_H-M 'P 1'
_symmetry_Int_Tables_number 1
_symmetry_space_group_name_Hall 'P 1'
loop_
_atom_site_label
_atom_site_type_symbol
_atom_site_fract_x
_atom_site_fract_y
_atom_site_fract_z
Mg1 Mg 0.0000 0.0000 0.0000
Sc1 Sc 0.5000 0.5000 0.5000
Zn1 Zn 0.2499 0.2499 0.2499
Zn2 Zn 0.7501 0.7501 0.7501
# Space group   R-3m, No. 166


# MgSc2Zn GGA-PBE relaxed
data_MgSc2Zn
_chemical_formula_sum 'Mg1 Sc2 Zn1'
_cell_length_a 4.9187
_cell_length_b 4.9187
_cell_length_c 4.9187
_cell_angle_alpha 60.00
_cell_angle_beta 60.00
_cell_angle_gamma 60.00
_symmetry_space_group_name_H-M 'P 1'
_symmetry_Int_Tables_number 1
_symmetry_space_group_name_Hall 'P 1'
loop_
_atom_site_label
_atom_site_type_symbol
_atom_site_fract_x
_atom_site_fract_y
_atom_site_fract_z
Mg1 Mg 0.0000 0.0000 0.0000
Sc1 Sc 0.2500 0.2500 0.2500
Sc2 Sc 0.5000 0.5000 0.5000
Zn1 Zn 0.7500 0.7500 0.7500
# Space group   F-43m, No. 216


# Mg3ScZn3 GGA-PBE relaxed
data_Mg3ScZn3
_chemical_formula_sum 'Mg12 Sc4 Zn12'
_cell_length_a 8.1437
_cell_length_b 8.1437
_cell_length_c 8.1437
_cell_angle_alpha 90.00
_cell_angle_beta 90.00
_cell_angle_gamma 90.00
_symmetry_space_group_name_H-M 'P 1'
_symmetry_Int_Tables_number 1
_symmetry_space_group_name_Hall 'P 1'
loop_
_atom_site_label
_atom_site_type_symbol
_atom_site_fract_x
_atom_site_fract_y
_atom_site_fract_z
Mg1 Mg 0.1270 0.3730 0.6270
Mg2 Mg 0.1655 0.8345 0.3345
Mg3 Mg 0.2047 0.2047 0.2047
Mg4 Mg 0.2953 0.7953 0.7047
Mg5 Mg 0.3345 0.1655 0.8345
Mg6 Mg 0.3730 0.6270 0.1270
Mg7 Mg 0.6270 0.1270 0.3730
Mg8 Mg 0.6655 0.6655 0.6655
Mg9 Mg 0.7047 0.2953 0.7953
Mg10 Mg 0.7953 0.7047 0.2953
Mg11 Mg 0.8345 0.3345 0.1655
Mg12 Mg 0.8730 0.8730 0.8730
Sc1 Sc 0.0487 0.5487 0.9513
Sc2 Sc 0.4513 0.4513 0.4513
Sc3 Sc 0.5487 0.9513 0.0487
Sc4 Sc 0.9513 0.0487 0.5487
Zn1 Zn 0.0065 0.1847 0.9062
Zn2 Zn 0.0938 0.5065 0.3153
Zn3 Zn 0.1847 0.9062 0.0065
Zn4 Zn 0.3153 0.0938 0.5065
Zn5 Zn 0.4062 0.4935 0.8153
Zn6 Zn 0.4935 0.8153 0.4062
Zn7 Zn 0.5065 0.3153 0.0938
Zn8 Zn 0.5938 0.9935 0.6847
Zn9 Zn 0.6847 0.5938 0.9935
Zn10 Zn 0.8153 0.4062 0.4935
Zn11 Zn 0.9062 0.0065 0.1847
Zn12 Zn 0.9935 0.6847 0.5938
# Space group   P2_13, No. 198


Calculated raw total energy (eV per cell), listed in the same order as above: -21.99 -10.67 -15.35 -62.06
Calculated ΔE_f (kcal/mol of atoms), listed in the same order as above: -2.540 -1.134 1.065 -1.904
Calculated total magnetization (μB/f.u.), listed in the same order as above: 0.00 0.00 0.00 0.00